# Ag3As PBE optimized geometry
# D(E_F) = 0.83 states/eV/cell
# formation energy from the elements = 0.1242 eV/atom
# final energy = -3.177 eV/atom
# space group = Cmmm
data_Ag3As
_chemical_formula_sum 'Ag3 As1'
_symmetry_space_group_name_H-M 'P 1'
_symmetry_Int_Tables_number 1
_cell_length_a 4.8610
_cell_length_b 4.8610
_cell_length_c 3.2168
_cell_angle_alpha 90.00
_cell_angle_beta 90.00
_cell_angle_gamma 104.75
loop_
_symmetry_equiv_pos_as_xyz
'x,y,z'
loop_
_atom_site_label
_atom_site_fract_x
_atom_site_fract_y
_atom_site_fract_z
As1 0.0000 0.0000 0.0000
Ag1 0.0000 0.5000 0.5000
Ag2 0.5000 0.0000 0.5000
Ag3 0.5000 0.5000 0.0000